The following is a GGA-PBE calculation of a geometry-optimized Tb3MnRh8 structure, from the Alexandria database.

CIF file:
```
data_Tb3MnRh8
_chemical_formula_sum 'Tb9 Mn3 Rh24'
_cell_length_a 5.2903
_cell_length_b 5.2903
_cell_length_c 25.9659
_cell_angle_alpha 90.00
_cell_angle_beta 90.00
_cell_angle_gamma 120.00
_symmetry_space_group_name_H-M 'R 3 m'
_symmetry_Int_Tables_number 160
_symmetry_space_group_name_Hall 'R 3 -2"'
loop_
_atom_site_label
_atom_site_fract_x
_atom_site_fract_y
_atom_site_fract_z
_atom_site_occupancy
Tb1 0.0000 0.0000 0.0000 1
Tb2 0.0000 0.0000 0.1286 1
Tb3 0.0000 0.0000 0.5103 1
Mn1 0.0000 0.0000 0.6338 1
Rh1 0.0000 0.0000 0.3164 1
Rh2 0.0000 0.0000 0.8166 1
Rh3 0.1671 0.3342 0.3989 1
Rh4 0.1669 0.3338 0.9010 1
```

Density of states at the Fermi level: 23.915 states/eV/cell
Energy of formation: -545 meV per atom
Calculated volume: 629.3 Å³/cell
Calculated density: 10.7 g cm⁻³